Record 1
Compound: ZrRe2Ag
Source: the Alexandria database
Functional: GGA-PBE
Structure: relaxed

```
ZrRe2Ag
1.0
3.895 0.000 0.000
0.000 3.895 0.000
0.000 0.000 19.812
Zr Re Ag
4 8 4
direct
0.000 0.000 0.000
0.000 0.500 0.250
0.500 0.000 0.750
0.500 0.500 0.500
0.203 0.250 0.625
0.250 0.703 0.875
0.250 0.797 0.375
0.297 0.250 0.125
0.703 0.750 0.125
0.750 0.203 0.375
0.750 0.297 0.875
0.797 0.750 0.625
0.000 0.000 0.500
0.000 0.500 0.750
0.500 0.000 0.250
0.500 0.500 0.000
```

Properties
- crystal system = tetragonal
- energy of formation from the pure elements (eV/atom) = 0.749
- final energy (eV per cell) = -133.2
- relative energy among the computed polymorphs (kJ per mole of atoms) = 61.0



Record 2
Compound: NdYCd2
Source: the Alexandria database
Functional: GGA-PBE
Structure: relaxed

```
NdYCd2
1.0
3.768 0.000 0.000
0.000 3.768 0.000
0.000 0.000 7.763
Nd Y Cd
1 1 2
direct
0.000 0.000 0.000
0.000 0.000 0.500
0.500 0.500 0.265
0.500 0.500 0.735
```

Properties
- crystal system = tetragonal
- energy of formation from the pure elements (eV/atom) = -0.331
- final energy (eV per cell) = -14.4
- relative energy among the computed polymorphs (kJ per mole of atoms) = 0.3



Record 3
Compound: TaAlRePt2
Source: the Alexandria database
Functional: GGA-PBE
Structure: relaxed

```
TaAlRePt2
1.0
4.381 0.000 0.000
0.000 4.381 0.000
0.000 0.000 4.721
Ta Al Re Pt
1 1 1 2
direct
0.000 0.000 0.000
0.000 0.000 0.500
0.500 0.500 0.000
0.000 0.500 0.500
0.500 0.000 0.500
```

Properties
- crystal system = tetragonal
- energy of formation from the pure elements (eV/atom) = 1.084
- final energy (eV per cell) = -34.7



Record 4
Compound: HoCoRu
Source: the Alexandria database
Functional: GGA-PBE
Structure: relaxed

```
HoCoRu
1.0
6.621 0.000 0.000
-3.311 5.734 0.000
0.000 0.000 4.023
Ho Co Ru
3 3 3
direct
0.000 0.407 0.000
0.407 0.000 0.000
0.593 0.593 0.000
0.000 0.000 0.000
0.333 0.667 0.500
0.667 0.333 0.500
0.000 0.752 0.500
0.248 0.248 0.500
0.752 0.000 0.500
```

Properties
- crystal system = hexagonal
- energy of formation from the pure elements (eV/atom) = -0.131
- final energy (eV per cell) = -64.1
- relative energy among the computed polymorphs (kJ per mole of atoms) = 14.3



Record 5
Compound: Zn2CoPd
Source: the Alexandria database
Functional: GGA-PBE
Structure: relaxed

```
Zn2CoPd
1.0
6.731 0.000 0.000
0.000 6.731 0.000
0.000 0.000 5.238
Zn Co Pd
8 4 4
direct
0.238 0.250 0.125
0.250 0.738 0.375
0.250 0.762 0.875
0.262 0.250 0.625
0.738 0.750 0.625
0.750 0.238 0.875
0.750 0.262 0.375
0.762 0.750 0.125
0.000 0.000 0.000
0.000 0.500 0.250
0.500 0.000 0.750
0.500 0.500 0.500
0.000 0.000 0.500
0.000 0.500 0.750
0.500 0.000 0.250
0.500 0.500 0.000
```

Properties
- crystal system = tetragonal
- energy of formation from the pure elements (eV/atom) = 0.154
- final energy (eV per cell) = -56.9



Record 6
Compound: Tm3Fe7Co2
Source: the Alexandria database
Functional: GGA-PBE
Structure: relaxed

```
Tm3Fe7Co2
1.0
2.517 1.453 8.098
-2.517 1.453 8.098
0.000 -2.907 8.098
Tm Fe Co
3 7 2
direct
0.000 0.000 0.000
0.142 0.142 0.142
0.858 0.858 0.858
0.082 0.582 0.582
0.418 0.418 0.918
0.418 0.918 0.418
0.500 0.500 0.500
0.582 0.082 0.582
0.582 0.582 0.082
0.918 0.418 0.418
0.333 0.333 0.333
0.667 0.667 0.667
```

Properties
- crystal system = trigonal
- energy of formation from the pure elements (eV/atom) = -0.142
- final energy (eV per cell) = -88.6



Record 7
Compound: Cs2ZrSeCl6
Source: the Alexandria database
Functional: GGA-PBE
Structure: relaxed

```
Cs2ZrSeCl6
1.0
-3.969 3.969 6.127
3.969 -3.969 6.127
3.969 3.969 -6.127
Cs Zr Se Cl
2 1 1 6
direct
0.250 0.750 0.500
0.750 0.250 0.500
0.000 0.000 0.000
0.500 0.500 0.000
0.203 0.203 0.000
0.222 0.222 0.444
0.222 0.778 0.000
0.778 0.222 0.000
0.778 0.778 0.556
0.797 0.797 0.000
```

Properties
- crystal system = tetragonal
- formation energy from raw total energies (eV per atom) = -1.5009
- final energy (eV per cell) = -39.8



Record 8
Compound: GaCu4Ge
Source: the Alexandria database
Functional: GGA-PBE
Structure: relaxed

```
GaCu4Ge
1.0
4.287 0.000 0.000
-0.013 4.745 0.000
-2.130 -2.367 7.901
Ga Cu Ge
2 8 2
direct
0.250 0.187 0.000
0.750 0.813 0.000
0.088 0.024 0.675
0.167 0.586 0.832
0.333 0.752 0.168
0.411 0.348 0.325
0.589 0.652 0.675
0.667 0.248 0.832
0.833 0.414 0.168
0.912 0.976 0.325
0.000 0.500 0.500
0.500 0.000 0.500
```

Properties
- crystal system = triclinic
- energy of formation from the pure elements (eV/atom) = -0.021
- final energy (eV per cell) = -48.3
- relative energy among the computed polymorphs (kJ per mole of atoms) = 0.0



Record 9
Compound: ZrNi2Hg
Source: the Alexandria database
Functional: GGA-PBE
Structure: relaxed

```
ZrNi2Hg
1.0
3.818 0.000 0.000
0.000 3.611 0.000
0.000 0.000 9.551
Zr Ni Hg
2 4 2
direct
0.000 0.000 0.000
0.000 0.500 0.500
0.000 0.000 0.283
0.000 0.500 0.783
0.500 0.000 0.430
0.500 0.500 0.930
0.500 0.000 0.707
0.500 0.500 0.207
```

Properties
- crystal system = orthorhombic
- energy of formation from the pure elements (eV/atom) = -0.173
- final energy (eV per cell) = -42.2



Record 10
Compound: PmHo4Al4
Source: the Alexandria database
Functional: GGA-PBE
Structure: relaxed

```
PmHo4Al4
1.0
-4.898 4.898 2.544
4.898 -4.898 2.544
4.898 4.898 -2.544
Pm Ho Al
1 4 4
direct
0.000 0.000 0.000
0.111 0.647 0.757
0.353 0.111 0.464
0.647 0.889 0.536
0.889 0.353 0.243
0.323 0.422 0.745
0.422 0.677 0.100
0.578 0.323 0.900
0.677 0.578 0.255
```

Properties
- crystal system = tetragonal
- energy of formation from the pure elements (eV/atom) = -0.165
- final energy (eV per cell) = -39.5



Record 11
Compound: Sm6PdSe5
Source: the Alexandria database
Functional: GGA-PBE
Structure: relaxed

```
Sm6PdSe5
1.0
3.624 -6.266 0.000
3.624 6.266 0.000
-2.427 0.000 6.817
Sm Pd Se
6 1 5
direct
0.080 0.411 0.245
0.247 0.247 0.750
0.411 0.080 0.245
0.589 0.920 0.755
0.753 0.753 0.250
0.920 0.589 0.755
0.000 0.000 0.000
0.171 0.829 0.500
0.335 0.665 0.000
0.500 0.500 0.500
0.665 0.335 0.000
0.829 0.171 0.500
```

Properties
- crystal system = monoclinic
- formation energy from raw total energies (eV per atom) = -1.6601
- final energy (eV per cell) = -70.9



Record 12
Compound: MgTl2Au
Source: the Alexandria database
Functional: GGA-PBE
Structure: relaxed

```
MgTl2Au
1.0
7.291 0.000 0.000
0.000 7.291 0.000
0.000 0.000 7.291
Mg Tl Au
4 8 4
direct
0.000 0.000 0.000
0.000 0.500 0.500
0.500 0.000 0.500
0.500 0.500 0.000
0.000 0.000 0.500
0.000 0.500 0.000
0.250 0.250 0.250
0.250 0.750 0.750
0.500 0.000 0.000
0.500 0.500 0.500
0.750 0.250 0.750
0.750 0.750 0.250
0.250 0.250 0.750
0.250 0.750 0.250
0.750 0.250 0.250
0.750 0.750 0.750
```

Properties
- crystal system = cubic
- energy of formation from the pure elements (eV/atom) = -0.029
- final energy (eV per cell) = -38.9
- relative energy among the computed polymorphs (kJ per mole of atoms) = 13.3



Record 13
Compound: Be2CdSi
Source: the Alexandria database
Functional: GGA-PBE
Structure: relaxed

```
Be2CdSi
1.0
3.865 0.000 0.000
0.000 3.865 0.000
0.000 0.000 7.372
Be Cd Si
4 2 2
direct
0.000 0.500 0.250
0.000 0.500 0.750
0.500 0.000 0.250
0.500 0.000 0.750
0.000 0.000 0.000
0.500 0.500 0.500
0.000 0.000 0.500
0.500 0.500 0.000
```

Properties
- crystal system = tetragonal
- formation energy from raw total energies (eV per atom) = 0.5910
- final energy (eV per cell) = -22.9
- relative energy among the computed polymorphs (kJ per mole of atoms) = 17.9



Record 14
Compound: LuPuNi2
Source: the Alexandria database
Functional: GGA-PBE
Structure: relaxed

```
LuPuNi2
1.0
6.669 0.000 0.000
0.000 6.669 0.000
0.000 0.000 6.669
Lu Pu Ni
4 4 8
direct
0.000 0.000 0.000
0.000 0.500 0.500
0.500 0.000 0.500
0.500 0.500 0.000
0.000 0.000 0.500
0.000 0.500 0.000
0.500 0.000 0.000
0.500 0.500 0.500
0.250 0.250 0.250
0.250 0.250 0.750
0.250 0.750 0.250
0.250 0.750 0.750
0.750 0.250 0.250
0.750 0.250 0.750
0.750 0.750 0.250
0.750 0.750 0.750
```

Properties
- crystal system = cubic
- energy of formation from the pure elements (eV/atom) = -0.210
- final energy (eV per cell) = -125.0
- relative energy among the computed polymorphs (kJ per mole of atoms) = 3.7



Record 15
Compound: B2C3
Source: the Alexandria database
Functional: GGA-PBE
Structure: relaxed

```
B2C3
1.0
4.499 -1.237 0.000
4.499 1.237 0.000
-2.933 0.000 5.855
B C
4 6
direct
0.015 0.015 0.367
0.375 0.375 0.199
0.625 0.625 0.801
0.985 0.985 0.633
0.186 0.186 0.170
0.204 0.204 0.436
0.405 0.405 0.961
0.595 0.595 0.039
0.796 0.796 0.564
0.814 0.814 0.830
```

Properties
- crystal system = monoclinic
- energy of formation from the pure elements (eV/atom) = 0.394
- final energy (eV per cell) = -78.1
- relative energy among the computed polymorphs (kJ per mole of atoms) = 15.2



Record 16
Compound: AlNi
Source: the Alexandria database
Functional: GGA-PBE
Structure: relaxed

```
AlNi
1.0
7.294 0.000 0.000
0.000 7.294 0.000
0.000 0.000 4.030
Al Ni
8 8
direct
0.000 0.275 0.000
0.000 0.725 0.000
0.225 0.500 0.500
0.275 0.000 0.000
0.500 0.225 0.500
0.500 0.775 0.500
0.725 0.000 0.000
0.775 0.500 0.500
0.171 0.171 0.500
0.171 0.829 0.500
0.329 0.329 0.000
0.329 0.671 0.000
0.671 0.329 0.000
0.671 0.671 0.000
0.829 0.171 0.500
0.829 0.829 0.500
```

Properties
- crystal system = tetragonal
- energy of formation from the pure elements (eV/atom) = -0.440
- final energy (eV per cell) = -83.2



Record 17
Compound: Li2H5Pd
Source: the Alexandria database
Functional: GGA-PBE
Structure: relaxed

```
Li2H5Pd
1.0
1.859 -4.532 0.000
1.859 4.532 0.000
0.000 0.000 8.525
Li H Pd
4 10 2
direct
0.154 0.846 0.582
0.154 0.846 0.918
0.846 0.154 0.082
0.846 0.154 0.418
0.051 0.949 0.116
0.051 0.949 0.384
0.307 0.693 0.110
0.307 0.693 0.390
0.321 0.679 0.750
0.679 0.321 0.250
0.693 0.307 0.610
0.693 0.307 0.890
0.949 0.051 0.616
0.949 0.051 0.884
0.180 0.820 0.250
0.820 0.180 0.750
```

Properties
- crystal system = orthorhombic
- final energy (eV per cell) = -55.5
- relative energy among the computed polymorphs (kJ per mole of atoms) = 0.0



Record 18
Compound: ZnCdGaAg
Source: the Alexandria database
Functional: GGA-PBE
Structure: relaxed

```
ZnCdGaAg
1.0
4.377 0.000 0.000
0.000 4.065 0.000
-1.265 0.000 8.289
Zn Cd Ga Ag
2 2 2 2
direct
0.000 0.000 0.000
0.500 0.500 0.000
0.491 0.000 0.259
0.991 0.500 0.259
0.014 0.500 0.774
0.514 0.000 0.774
0.037 0.000 0.524
0.537 0.500 0.524
```

Properties
- crystal system = monoclinic
- energy of formation from the pure elements (eV/atom) = 0.020
- final energy (eV per cell) = -16.0



Record 19
Compound: ZrAsI2
Source: the Alexandria database
Functional: GGA-PBE
Structure: relaxed

```
ZrAsI2
1.0
10.653 0.000 0.000
0.000 10.653 0.000
0.000 0.000 5.234
Zr As I
4 4 8
direct
0.000 0.000 0.000
0.000 0.500 0.250
0.500 0.000 0.750
0.500 0.500 0.500
0.000 0.000 0.500
0.000 0.500 0.750
0.500 0.000 0.250
0.500 0.500 0.000
0.100 0.250 0.125
0.250 0.600 0.375
0.250 0.900 0.875
0.400 0.250 0.625
0.600 0.750 0.625
0.750 0.100 0.875
0.750 0.400 0.375
0.900 0.750 0.125
```

Properties
- crystal system = tetragonal
- formation energy from raw total energies (eV per atom) = -0.2937
- final energy (eV per cell) = -69.9
- relative energy among the computed polymorphs (kJ per mole of atoms) = 47.3



Record 20
Compound: Cd2TeOs
Source: the Alexandria database
Functional: GGA-PBE
Structure: relaxed

```
Cd2TeOs
1.0
6.456 0.000 0.000
0.000 6.456 0.000
0.000 0.000 12.849
Cd Te Os
8 4 4
direct
0.229 0.250 0.125
0.250 0.729 0.375
0.250 0.771 0.875
0.271 0.250 0.625
0.729 0.750 0.625
0.750 0.229 0.875
0.750 0.271 0.375
0.771 0.750 0.125
0.000 0.000 0.500
0.000 0.500 0.750
0.500 0.000 0.250
0.500 0.500 0.000
0.000 0.000 0.000
0.000 0.500 0.250
0.500 0.000 0.750
0.500 0.500 0.500
```

Properties
- crystal system = tetragonal
- formation energy from raw total energies (eV per atom) = 1.1512
- final energy (eV per cell) = -46.4



Record 21
Compound: NpSbAu
Source: the Alexandria database
Functional: GGA-PBE
Structure: relaxed

```
NpSbAu
1.0
5.233 0.000 0.000
0.000 3.593 0.000
-1.095 0.000 6.935
Np Sb Au
2 2 2
direct
0.024 0.250 0.116
0.976 0.750 0.884
0.460 0.250 0.803
0.540 0.750 0.197
0.209 0.750 0.482
0.791 0.250 0.518
```

Properties
- crystal system = monoclinic
- formation energy from raw total energies (eV per atom) = -0.1153
- final energy (eV per cell) = -41.4



Record 22
Compound: Y3Ho2Ag3
Source: the Alexandria database
Functional: GGA-PBE
Structure: relaxed

```
Y3Ho2Ag3
1.0
3.664 0.000 0.000
0.000 5.258 0.000
0.000 0.000 21.557
Y Ho Ag
6 4 6
direct
0.000 0.000 0.000
0.000 0.500 0.121
0.000 0.500 0.879
0.500 0.000 0.379
0.500 0.000 0.621
0.500 0.500 0.500
0.000 0.000 0.231
0.000 0.000 0.769
0.500 0.500 0.269
0.500 0.500 0.731
0.000 0.000 0.500
0.000 0.500 0.382
0.000 0.500 0.618
0.500 0.000 0.118
0.500 0.000 0.882
0.500 0.500 0.000
```

Properties
- crystal system = orthorhombic
- energy of formation from the pure elements (eV/atom) = -0.233
- final energy (eV per cell) = -77.9



Record 23
Compound: LaHfTi
Source: the Alexandria database
Functional: GGA-PBE
Structure: relaxed

```
LaHfTi
1.0
4.938 0.000 0.000
0.000 4.937 0.000
-0.039 0.000 12.085
La Hf Ti
4 4 4
direct
0.250 0.000 0.114
0.250 0.500 0.886
0.750 0.000 0.886
0.750 0.500 0.114
0.249 0.500 0.311
0.251 0.000 0.689
0.749 0.000 0.311
0.751 0.500 0.689
0.250 0.000 0.451
0.250 0.500 0.549
0.750 0.000 0.549
0.750 0.500 0.451
```

Properties
- crystal system = monoclinic
- energy of formation from the pure elements (eV/atom) = 0.114
- final energy (eV per cell) = -89.7



Record 24
Compound: Pm2DyBe
Source: the Alexandria database
Functional: GGA-PBE
Structure: relaxed

```
Pm2DyBe
1.0
3.559 0.000 0.000
0.000 3.559 0.000
0.000 0.000 8.600
Pm Dy Be
2 1 1
direct
0.000 0.000 0.197
0.000 0.000 0.803
0.500 0.500 0.500
0.500 0.500 0.000
```

Properties
- crystal system = tetragonal
- energy of formation from the pure elements (eV/atom) = 0.111
- final energy (eV per cell) = -17.4
- relative energy among the computed polymorphs (kJ per mole of atoms) = 0.0